Entry 1:
Below is a relaxed DySc3 crystal, with properties calculated at the PBE-GGA level.

```
data_DySc3
_chemical_formula_sum 'Dy1 Sc3'
_cell_length_a 3.3963
_cell_length_b 5.2701
_cell_length_c 5.8697
_cell_angle_alpha 90.00
_cell_angle_beta 90.00
_cell_angle_gamma 90.00
_space_group_name_H-M_alt 'P 1'
_space_group_IT_number 1
loop_
_space_group_symop_operation_xyz
'x,y,z'
loop_
_atom_site_label
_atom_site_type_symbol
_atom_site_fract_x
_atom_site_fract_y
_atom_site_fract_z
_atom_site_occupancy
Dy1 Dy 0.0000 0.0000 0.0000 1
Sc1 Sc 0.0000 0.5000 0.6610 1
Sc2 Sc 0.5000 0.0000 0.4967 1
Sc3 Sc 0.5000 0.5000 0.1704 1
```

Summary:
ΔE_f   0.025 eV per atom
Energy above the most stable polymorph in this dataset   3 meV per atom
Volume   105.1 Å³/f.u.

***

Entry 2:
Below is a relaxed Na2ZnHg crystal, with properties calculated at the PBE-GGA level.

```
data_Na2ZnHg
_chemical_formula_sum 'Na2 Zn1 Hg1'
_cell_length_a 5.6815
_cell_length_b 5.6815
_cell_length_c 5.6815
_cell_angle_alpha 132.99
_cell_angle_beta 132.99
_cell_angle_gamma 68.67
_space_group_name_H-M_alt 'P 1'
_space_group_IT_number 1
loop_
_space_group_symop_operation_xyz
'x,y,z'
loop_
_atom_site_label
_atom_site_type_symbol
_atom_site_fract_x
_atom_site_fract_y
_atom_site_fract_z
_atom_site_occupancy
Na1 Na 0.2500 0.7500 0.5000 1
Na2 Na 0.7500 0.2500 0.5000 1
Zn1 Zn 0.0000 0.0000 0.0000 1
Hg1 Hg 0.5000 0.5000 0.0000 1
```

Summary:
ΔE_f   -0.061 eV per atom
Volume   96.4 Å³/f.u.

***

Entry 3:
Below is a relaxed Pm2GdDy crystal, with properties calculated at the PBE-GGA level.

```
data_Pm2GdDy
_chemical_formula_sum 'Pm2 Gd1 Dy1'
_cell_length_a 5.7421
_cell_length_b 5.7421
_cell_length_c 5.7421
_cell_angle_alpha 60.00
_cell_angle_beta 60.00
_cell_angle_gamma 60.00
_space_group_name_H-M_alt 'P 1'
_space_group_IT_number 1
loop_
_space_group_symop_operation_xyz
'x,y,z'
loop_
_atom_site_label
_atom_site_type_symbol
_atom_site_fract_x
_atom_site_fract_y
_atom_site_fract_z
_atom_site_occupancy
Pm1 Pm 0.2500 0.2500 0.2500 1
Pm2 Pm 0.7500 0.7500 0.7500 1
Gd1 Gd 0.0000 0.0000 0.0000 1
Dy1 Dy 0.5000 0.5000 0.5000 1
```

Summary:
ΔE_f   0.117 eV per atom
Energy above the most stable polymorph in this dataset   104 meV per atom
Volume   133.9 Å³/f.u.

***

Entry 4:
Below is a relaxed Rb2CdHg2 crystal, with properties calculated at the PBE-GGA level.

```
data_Rb2CdHg2
_chemical_formula_sum 'Rb2 Cd1 Hg2'
_cell_length_a 7.0569
_cell_length_b 7.0569
_cell_length_c 7.0569
_cell_angle_alpha 137.48
_cell_angle_beta 122.43
_cell_angle_gamma 74.14
_space_group_name_H-M_alt 'P 1'
_space_group_IT_number 1
loop_
_space_group_symop_operation_xyz
'x,y,z'
loop_
_atom_site_label
_atom_site_type_symbol
_atom_site_fract_x
_atom_site_fract_y
_atom_site_fract_z
_atom_site_occupancy
Rb1 Rb 0.1979 0.1979 0.0000 1
Rb2 Rb 0.8021 0.8021 0.0000 1
Cd1 Cd 0.5000 0.0000 0.5000 1
Hg1 Hg 0.2443 0.5000 0.7443 1
Hg2 Hg 0.7557 0.5000 0.2557 1
```

Summary:
ΔE_f   -0.193 eV per atom
Energy above the most stable polymorph in this dataset   0 meV per atom
Volume   195.9 Å³/f.u.

***

Which value of volume does entry 1 give?
105.1 Å³/f.u.

***

Among the records above, which one has the lowest volume?
Na2ZnHg

***

Among the records above, which one has the lowest ΔE_f?
Rb2CdHg2